(1)
DFT (meta-GGA SCAN) results for a crystal of AlZn2Re relaxed with PBEsol.

Its raw total energy is -105.4 eV per cell.

It has space group P4mm (No. 99), with a = 2.698 Å, b = 2.698 Å, c = 7.872 Å, α = 90.00°, β = 90.00° and γ = 90.00°. The asymmetric unit holds Al at (0.000, 0.000, 0.000), Zn at (0.000, 0.000, 0.496), Zn at (0.500, 0.500, 0.742) and Re at (0.500, 0.500, 0.245).

***

(2)
DFT (meta-GGA SCAN) results for a crystal of CaTcAs2Br relaxed with PBEsol.

The value obtained for the uncorrected formation energy is -290 meV/atom. Its raw total energy is -106.0 eV per cell.

It has space group P4/mmm (No. 123), with a = 4.701 Å, b = 4.701 Å, c = 5.431 Å, α = 90.00°, β = 90.00° and γ = 90.00°. The asymmetric unit holds Ca at (0.000, 0.000, 0.000), Tc at (0.500, 0.500, 0.500), As at (0.000, 0.500, 0.500) and Br at (0.500, 0.500, 0.000).